Density functional theory data (PBE) for crystalline TlBS3 at its relaxed geometry.

Cell lengths 4.380, 4.380, 4.380 Å; angles 90.00, 90.00, 90.00 degrees
Atoms (fractional coordinates):
Tl1 0.000 0.000 0.000
B1 0.500 0.500 0.500
S1 0.000 0.500 0.500
S2 0.500 0.000 0.500
S3 0.500 0.500 0.000

Density functional theory data (PBE) for crystalline BiPbSeN2 at its relaxed geometry.

Relative energy among the computed polymorphs (meV per atom): 235

Cell lengths 4.552, 4.552, 5.693 Å; angles 90.00, 90.00, 90.00 degrees
Atoms (fractional coordinates):
Bi1 0.000 0.000 0.000
Pb1 0.500 0.500 0.500
Se1 0.500 0.500 0.000
N1 0.000 0.500 0.500
N2 0.500 0.000 0.500

Summary of total DFT energy (no corrections) in eV for the cell shown
-18.71 -20.44
(order as listed above)